A plane-wave DFT calculation with PBE with a Hubbard U was carried out for a relaxed structure of CrCF2.

a = 3.8381 Å, b = 3.8381 Å, c = 3.8381 Å
α = 60.00°, β = 60.00°, γ = 60.00°
Last column: nearest neighbours and their distance in Å.
Positions (direct):
Cr (0.5000, 0.5000, 0.5000)  8 F 2.35
C (0.0000, 0.0000, 0.0000)  8 F 2.35
F (0.7500, 0.7500, 0.7500)  4 C 2.35, 4 Cr 2.35
F (0.2500, 0.2500, 0.2500)  4 Cr 2.35, 4 C 2.35

Summary:
Total magnetic moment: 1.97 μB per formula unit
Symmetry: Fm-3m, No. 225
Raw total energy: -4.1027 eV/atom
Polymorph energy (0 for the lowest one): 1.280 eV/atom